# Ba3InH

An optimized crystal structure of Ba3InH (PBEsol, Alexandria).

Summary:
* spin magnetization: 0.0 μB per cell
* VASP energy: -2.855 eV per atom

a = 5.5102 Å, b = 5.5102 Å, c = 5.5102 Å
α = 90.00°, β = 90.00°, γ = 90.00°
Closest atoms and distances in Å follow each position.
Space group Pm-3m (No. 221)
Symmetry-distinct sites (fractional):
Ba (0.0000, 0.0000, 0.5000) (multiplicity 3)  2 H 2.76
In (0.5000, 0.5000, 0.5000) (multiplicity 1)  12 Ba 3.90
H (0.0000, 0.0000, 0.0000) (multiplicity 1)  6 Ba 2.76